1.
VASP calculation (GGA-PBE) on a geometry-optimized Cs2SrNpO6 structure.

N(E_F) (states/eV/f.u.): 11.3

Cell: 9.139 9.139 9.139 Å, 90.00 90.00 90.00°
Space group Fm-3m (No. 225)
Symmetry-distinct sites (fractional):
Cs 0.250 0.250 0.250 (multiplicity 8)
Sr 0.000 0.000 0.000 (multiplicity 4)
Np 0.000 0.000 0.500 (multiplicity 4)
O 0.000 0.000 0.280 (multiplicity 24)

=====

2.
VASP calculation (GGA-PBE) on a geometry-optimized CsNp2TaO8 structure.

N(E_F) (states/eV/f.u.): 4.9

Cell: 4.681 4.720 9.991 Å, 99.15 91.10 91.63°
Space group P-1 (No. 2)
Symmetry-distinct sites (fractional):
Cs 0.000 0.000 0.000 (multiplicity 1)
Np 0.421 0.473 0.677 (multiplicity 2)
Ta 0.000 0.000 0.500 (multiplicity 1)
O 0.146 0.712 0.350 (multiplicity 2)
O 0.235 0.888 0.651 (multiplicity 2)
O 0.310 0.295 0.482 (multiplicity 2)
O 0.496 0.613 0.860 (multiplicity 2)

=====

3.
VASP calculation (GGA-PBE) on a geometry-optimized CsNpTaO6 structure.

N(E_F) (states/eV/f.u.): 0.6

Cell: 7.504 7.853 10.820 Å, 90.00 90.00 90.00°
Space group Imma (No. 74)
Symmetry-distinct sites (fractional):
Cs 0.000 0.250 0.118 (multiplicity 4)
Np 0.000 0.000 0.500 (multiplicity 4)
Ta 0.250 0.250 0.750 (multiplicity 4)
O 0.000 0.250 0.428 (multiplicity 4)
O 0.000 0.250 0.806 (multiplicity 4)
O 0.193 0.067 0.626 (multiplicity 16)

=====

4.
VASP calculation (GGA-PBE) on a geometry-optimized Cs3Tb3NpO8 structure.

N(E_F) (states/eV/f.u.): 11.4

Cell: 7.0878 7.0878 21.0167 Å, 90.00 90.00 120.00°
Space group R-3m (No. 166, hexagonal axes)
Symmetry-distinct sites (fractional):
Cs 0.0000 0.5000 0.0000 (multiplicity 9)
Tb 0.0000 0.5000 0.5000 (multiplicity 9)
Np 0.0000 0.0000 0.5000 (multiplicity 3)
O 0.0000 0.0000 0.2196 (multiplicity 6)
O 0.0116 0.5058 0.2187 (multiplicity 18)

=====

5.
VASP calculation (GGA-PBE) on a geometry-optimized Cs2TbNpO6 structure.

Cell: 8.830 8.830 8.830 Å, 90.00 90.00 90.00°
Space group Fm-3m (No. 225)
Symmetry-distinct sites (fractional):
Cs 0.250 0.250 0.250 (multiplicity 8)
Tb 0.000 0.000 0.000 (multiplicity 4)
Np 0.000 0.000 0.500 (multiplicity 4)
O 0.000 0.000 0.267 (multiplicity 24)

=====

6.
VASP calculation (GGA-PBE) on a geometry-optimized CsTb2NpO8 structure.

N(E_F) (states/eV/f.u.): 2.3

Cell: 7.264 7.277 7.915 Å, 90.00 90.08 90.00°
Space group C2/m (No. 12)
Symmetry-distinct sites (fractional):
Cs 0.000 0.000 0.000 (multiplicity 2)
Tb 0.000 0.500 0.284 (multiplicity 4)
Np 0.000 0.000 0.500 (multiplicity 2)
O 0.001 0.188 0.680 (multiplicity 8)
O 0.105 0.500 0.000 (multiplicity 4)
O 0.203 0.500 0.500 (multiplicity 4)

=====

7.
VASP calculation (GGA-PBE) on a geometry-optimized CsTbNpO6 structure.

N(E_F) (states/eV/f.u.): 8.2

Cell: 5.9186 5.9186 6.4222 Å, 90.00 90.00 120.00°
Space group P312 (No. 149)
Symmetry-distinct sites (fractional):
Cs 0.0000 0.0000 0.0000 (multiplicity 1)
Tb 0.3333 0.6667 0.5000 (multiplicity 1)
Np 0.6667 0.3333 0.5000 (multiplicity 1)
O 0.4049 0.0351 0.6727 (multiplicity 6)

=====

8.
VASP calculation (GGA-PBE) on a geometry-optimized CsNpTeO6 structure.

N(E_F) (states/eV/f.u.): 1.0

Cell: 7.593 7.900 10.916 Å, 90.00 90.00 90.00°
Space group Imma (No. 74)
Symmetry-distinct sites (fractional):
Cs 0.000 0.250 0.115 (multiplicity 4)
Np 0.000 0.000 0.500 (multiplicity 4)
Te 0.250 0.250 0.750 (multiplicity 4)
O 0.000 0.250 0.432 (multiplicity 4)
O 0.000 0.250 0.811 (multiplicity 4)
O 0.195 0.067 0.623 (multiplicity 16)

=====

9.
VASP calculation (GGA-PBE) on a geometry-optimized CsNpTe2O8 structure.

Cell: 6.2383 6.2383 8.3583 Å, 90.00 90.00 120.00°
Space group P-3 (No. 147)
Symmetry-distinct sites (fractional):
Cs 0.0000 0.0000 0.0000 (multiplicity 1)
Np 0.0000 0.0000 0.5000 (multiplicity 1)
Te 0.3333 0.6667 0.6529 (multiplicity 2)
O 0.0462 0.2896 0.6370 (multiplicity 6)
O 0.3333 0.6667 0.8695 (multiplicity 2)

=====

10.
VASP calculation (GGA-PBE) on a geometry-optimized Cs2NpTeO6 structure.

N(E_F) (states/eV/f.u.): 5.0

Cell: 6.010 6.010 11.069 Å, 90.00 90.00 90.00°
Space group I4/mmm (No. 139)
Symmetry-distinct sites (fractional):
Cs 0.000 0.500 0.250 (multiplicity 4)
Np 0.000 0.000 0.000 (multiplicity 2)
Te 0.000 0.000 0.500 (multiplicity 2)
O 0.000 0.000 0.170 (multiplicity 4)
O 0.247 0.247 0.500 (multiplicity 8)

=====

11.
VASP calculation (GGA-PBE) on a geometry-optimized Cs2ThNpO6 structure.

Cell: 8.945 8.945 8.945 Å, 90.00 90.00 90.00°
Space group Fm-3m (No. 225)
Symmetry-distinct sites (fractional):
Cs 0.250 0.250 0.250 (multiplicity 8)
Th 0.000 0.000 0.000 (multiplicity 4)
Np 0.000 0.000 0.500 (multiplicity 4)
O 0.000 0.000 0.264 (multiplicity 24)

=====

12.
VASP calculation (GGA-PBE) on a geometry-optimized CsThNpO6 structure.

Cell: 7.683 8.263 10.466 Å, 90.00 90.00 90.00°
Space group Imma (No. 74)
Symmetry-distinct sites (fractional):
Cs 0.000 0.250 0.145 (multiplicity 4)
Th 0.250 0.250 0.750 (multiplicity 4)
Np 0.000 0.000 0.500 (multiplicity 4)
O 0.000 0.250 0.577 (multiplicity 4)
O 0.000 0.250 0.852 (multiplicity 4)
O 0.180 0.014 0.371 (multiplicity 16)

=====

13.
VASP calculation (GGA-PBE) on a geometry-optimized CsNpTiO6 structure.

Cell: 7.230 7.894 10.620 Å, 90.00 90.00 90.00°
Space group Imma (No. 74)
Symmetry-distinct sites (fractional):
Cs 0.000 0.250 0.112 (multiplicity 4)
Np 0.000 0.000 0.500 (multiplicity 4)
Ti 0.250 0.250 0.750 (multiplicity 4)
O 0.000 0.250 0.424 (multiplicity 4)
O 0.000 0.250 0.802 (multiplicity 4)
O 0.193 0.067 0.622 (multiplicity 16)

=====

14.
VASP calculation (GGA-PBE) on a geometry-optimized Cs2NpTiO6 structure.

Cell: 5.665 5.665 11.523 Å, 90.00 90.00 90.00°
Space group I4mm (No. 107)
Symmetry-distinct sites (fractional):
Cs 0.000 0.500 0.000 (multiplicity 4)
Np 0.000 0.000 0.261 (multiplicity 2)
Ti 0.000 0.000 0.731 (multiplicity 2)
O 0.000 0.000 0.092 (multiplicity 2)
O 0.000 0.000 0.582 (multiplicity 2)
O 0.244 0.244 0.773 (multiplicity 8)

=====

15.
VASP calculation (GGA-PBE) on a geometry-optimized Cs3Np2TlO9 structure.

Cell: 6.4474 6.4474 8.1025 Å, 90.00 90.00 120.00°
Space group P-3m1 (No. 164)
Symmetry-distinct sites (fractional):
Cs 0.0000 0.0000 0.0000 (multiplicity 1)
Cs 0.3333 0.6667 0.6489 (multiplicity 2)
Np 0.3333 0.6667 0.1419 (multiplicity 2)
Tl 0.0000 0.0000 0.5000 (multiplicity 1)
O 0.0000 0.5000 0.0000 (multiplicity 3)
O 0.1924 0.3847 0.2826 (multiplicity 6)

=====

16.
VASP calculation (GGA-PBE) on a geometry-optimized CsNp3Tl4O12 structure.

N(E_F) (states/eV/f.u.): 11.0

Cell: 9.019 9.019 9.019 Å, 90.00 90.00 90.00°
Space group Im-3m (No. 229)
Symmetry-distinct sites (fractional):
Cs 0.000 0.000 0.000 (multiplicity 2)
Np 0.000 0.000 0.500 (multiplicity 6)
Tl 0.250 0.250 0.250 (multiplicity 8)
O 0.000 0.000 0.296 (multiplicity 12)
O 0.000 0.250 0.500 (multiplicity 12)

=====

17.
VASP calculation (GGA-PBE) on a geometry-optimized CsNpTlO6 structure.

N(E_F) (states/eV/f.u.): 7.8

Cell: 5.7227 5.7227 13.5569 Å, 90.00 90.00 120.00°
Space group P-31c (No. 163)
Symmetry-distinct sites (fractional):
Cs 0.0000 0.0000 0.0000 (multiplicity 2)
Np 0.3333 0.6667 0.2500 (multiplicity 2)
Tl 0.3333 0.6667 0.7500 (multiplicity 2)
O 0.0373 0.4041 0.1606 (multiplicity 12)

=====

18.
VASP calculation (GGA-PBE) on a geometry-optimized Cs2NpTl2O6 structure.

N(E_F) (states/eV/f.u.): 7.6

Cell: 7.087 10.729 7.370 Å, 90.00 114.06 90.00°
Space group C2/m (No. 12)
Symmetry-distinct sites (fractional):
Cs 0.000 0.186 0.000 (multiplicity 4)
Np 0.000 0.000 0.500 (multiplicity 2)
Tl 0.000 0.342 0.500 (multiplicity 4)
O 0.171 0.130 0.688 (multiplicity 8)
O 0.201 0.000 0.349 (multiplicity 4)

=====

Number 1: total DFT energy (no corrections) -6.898 eV per atom, formation energy (no corrections) -2.290 eV/atom. Number 2: total DFT energy (no corrections) -9.132 eV per atom, formation energy (no corrections) -2.611 eV/atom. Number 3: total DFT energy (no corrections) -8.891 eV per atom, formation energy (no corrections) -2.736 eV/atom. Number 4: total DFT energy (no corrections) -7.324 eV per atom, formation energy (no corrections) -2.720 eV/atom. Number 5: total DFT energy (no corrections) -7.486 eV per atom, formation energy (no corrections) -2.583 eV/atom. Number 6: total DFT energy (no corrections) -7.824 eV per atom, formation energy (no corrections) -2.597 eV/atom. Number 7: total DFT energy (no corrections) -7.848 eV per atom, formation energy (no corrections) -2.495 eV/atom. Number 8: total DFT energy (no corrections) -7.177 eV per atom, formation energy (no corrections) -1.990 eV/atom. Number 9: total DFT energy (no corrections) -6.574 eV per atom, formation energy (no corrections) -1.595 eV/atom. Number 10: total DFT energy (no corrections) -6.682 eV per atom, formation energy (no corrections) -1.928 eV/atom. Number 11: total DFT energy (no corrections) -7.962 eV per atom, formation energy (no corrections) -2.780 eV/atom. Number 12: total DFT energy (no corrections) -8.528 eV per atom, formation energy (no corrections) -2.866 eV/atom. Number 13: total DFT energy (no corrections) -8.327 eV per atom, formation energy (no corrections) -2.611 eV/atom. Number 14: total DFT energy (no corrections) -7.717 eV per atom, formation energy (no corrections) -2.488 eV/atom. Number 15: total DFT energy (no corrections) -7.205 eV per atom, formation energy (no corrections) -2.177 eV/atom. Number 16: total DFT energy (no corrections) -7.459 eV per atom, formation energy (no corrections) -2.027 eV/atom. Number 17: total DFT energy (no corrections) -6.681 eV per atom, formation energy (no corrections) -1.580 eV/atom. Number 18: total DFT energy (no corrections) -6.127 eV per atom, formation energy (no corrections) -1.661 eV/atom.